No. 1
Below is NaPAuO2 after structural relaxation, with properties calculated at the GGA-PBE level.

Structure (extended XYZ):
```
5
Lattice="-0.793 3.835 1.553 -3.769 -1.321 1.338 1.962 -1.309 4.234" Properties=species:S:1:pos:R:3 pbc="T T T"
P 0.981 -0.655 2.117
Au 0.000 0.000 0.000
O -1.885 -0.661 0.669
O -0.396 1.917 0.777
Na -1.300 0.602 3.563
```

Energy relative to the elements, uncorrected ... 0.358 eV/atom
SG ... P4/mmm, No. 123
Volume ... 86.0 Å³ per cell

No. 2
Below is NaPAuO2 after structural relaxation, with properties calculated at the GGA-PBE level.

Structure (extended XYZ):
```
5
Lattice="4.016 0.000 0.000 0.000 4.016 0.000 0.000 0.000 5.685" Properties=species:S:1:pos:R:3 pbc="T T T"
P 0.000 0.000 2.842
Au 2.008 2.008 2.842
O 0.000 2.008 0.000
O 2.008 0.000 0.000
Na 0.000 0.000 0.000
```

Energy relative to the elements, uncorrected ... 0.901 eV/atom
SG ... P4/mmm, No. 123
Volume ... 91.7 Å³ per cell

No. 3
Below is Na2PAuO4 after structural relaxation, with properties calculated at the GGA-PBE level.

Structure (extended XYZ):
```
8
Lattice="5.948 0.000 0.000 2.974 4.257 -0.652 2.974 0.455 4.282" Properties=species:S:1:pos:R:3 pbc="T T T"
Na 2.974 1.406 3.049
Na 2.974 3.306 0.582
P 5.948 2.356 1.815
Au 5.948 0.455 4.282
O 5.057 3.631 1.622
O 6.840 2.218 0.533
O 6.840 2.494 3.097
O 5.057 1.081 2.009
```

Energy relative to the elements, uncorrected ... -1.595 eV/atom
SG ... I-42m, No. 121
Volume ... 110.2 Å³ per cell

No. 4
Below is NaPa2AuO8 after structural relaxation, with properties calculated at the GGA-PBE level.

Structure (extended XYZ):
```
12
Lattice="5.471 0.000 0.000 -2.735 4.738 0.000 0.000 0.000 6.957" Properties=species:S:1:pos:R:3 pbc="T T T"
Na 0.000 0.000 3.479
Pa 2.735 1.579 0.929
Pa 0.000 3.159 6.028
Au 0.000 0.000 0.000
O 2.735 3.029 5.928
O 1.480 0.855 5.928
O 3.991 0.855 5.928
O 0.000 1.709 1.029
O 1.255 3.883 1.029
O -1.255 3.883 1.029
O 2.735 1.579 2.783
O 0.000 3.159 4.174
```

Energy relative to the elements, uncorrected ... -1.914 eV/atom
SG ... P-3m1, No. 164
Volume ... 180.3 Å³ per cell

No. 5
Below is NaPaAuO5 after structural relaxation, with properties calculated at the GGA-PBE level.

Structure (extended XYZ):
```
16
Lattice="5.796 -0.493 0.121 -2.163 5.400 0.121 -1.259 -1.700 7.960" Properties=species:S:1:pos:R:3 pbc="T T T"
Na -0.009 3.147 2.111
Na 2.383 0.060 6.091
Pa -0.629 -0.850 3.980
Pa 0.000 0.000 0.000
Au 2.735 1.116 2.111
Au -0.361 2.091 6.091
O -1.896 4.544 2.111
O 4.271 -1.337 6.091
O 4.058 0.477 0.731
O -1.683 2.730 7.470
O 3.732 0.037 3.490
O -1.358 3.170 4.711
O 1.746 2.272 3.421
O 0.628 0.936 4.780
O 1.341 1.724 0.800
O 1.034 1.483 7.401
```

Energy relative to the elements, uncorrected ... -1.744 eV/atom
SG ... C2/c, No. 15
Volume ... 243.2 Å³ per cell

No. 6
Below is Na2PaAuO4 after structural relaxation, with properties calculated at the GGA-PBE level.

Structure (extended XYZ):
```
8
Lattice="5.878 -0.409 -0.627 -2.875 5.143 0.627 -2.875 -1.496 4.961" Properties=species:S:1:pos:R:3 pbc="T T T"
Na 0.064 3.279 1.397
Na 0.000 0.000 0.000
Pa 0.064 -0.041 3.564
Au -2.875 1.824 2.794
O 0.686 1.041 1.900
O -1.972 -0.313 3.242
O 3.653 2.566 0.209
O -2.110 3.182 4.569
```

Energy relative to the elements, uncorrected ... -1.867 eV/atom
SG ... I-4, No. 82
Volume ... 138.4 Å³ per cell

No. 7
Below is NaPaAuO4 after structural relaxation, with properties calculated at the GGA-PBE level.

Structure (extended XYZ):
```
14
Lattice="6.671 0.000 0.000 -3.336 6.230 -0.236 0.000 -3.573 5.875" Properties=species:S:1:pos:R:3 pbc="T T T"
Na 3.336 3.934 0.380
Na 0.000 -1.277 5.259
Pa 3.336 -1.786 2.938
Pa 3.336 0.000 0.000
Au 1.668 1.329 2.820
Au -1.668 1.329 2.820
O 3.336 0.293 3.789
O -1.317 5.039 1.052
O 1.317 5.039 1.052
O 3.336 1.712 1.454
O 0.000 0.945 4.185
O 4.653 -2.381 4.588
O 2.019 -2.381 4.588
O 0.000 2.364 1.851
```

Energy relative to the elements, uncorrected ... -2.055 eV/atom
SG ... Imma, No. 74
Volume ... 238.6 Å³ per cell

No. 8
Below is NaPaAu2O8 after structural relaxation, with properties calculated at the GGA-PBE level.

Structure (extended XYZ):
```
12
Lattice="6.148 0.339 0.000 -2.423 5.660 0.000 -1.862 -2.999 5.044" Properties=species:S:1:pos:R:3 pbc="T T T"
Na -1.212 2.830 2.522
Pa 0.000 0.000 0.000
Au 3.074 0.169 2.522
Au 1.862 2.999 0.000
O 1.501 -0.571 1.577
O 0.316 2.118 0.849
O -0.104 -1.777 4.195
O 3.107 -1.569 3.467
O 3.409 3.881 0.849
O 4.646 0.910 1.577
O 3.040 1.907 3.467
O 0.104 1.777 4.195
```

Energy relative to the elements, uncorrected ... -0.808 eV/atom
SG ... I-4m2, No. 119
Volume ... 179.7 Å³ per cell

No. 9
Below is Na2PbAuO after structural relaxation, with properties calculated at the GGA-PBE level.

Structure (extended XYZ):
```
5
Lattice="-3.574 1.319 2.381 -0.744 -4.253 1.238 2.964 0.669 4.078" Properties=species:S:1:pos:R:3 pbc="T T T"
Pb 1.482 0.334 2.039
Na -0.372 -2.126 0.619
Na -1.787 0.659 1.190
Au -0.677 -1.133 3.849
O 0.000 0.000 0.000
```

Energy relative to the elements, uncorrected ... -0.714 eV/atom
SG ... P4/mmm, No. 123
Volume ... 102.6 Å³ per cell

No. 10
Below is Na3Pd3AuO8 after structural relaxation, with properties calculated at the GGA-PBE level.

Structure (extended XYZ):
```
15
Lattice="-2.750 1.924 -5.095 5.877 -3.593 -0.876 -5.058 -3.194 1.524" Properties=species:S:1:pos:R:3 pbc="T T T"
Na 0.000 0.000 0.000
Na 2.939 -1.797 -0.438
Na 1.564 -0.835 -2.985
Pd -3.904 -0.635 -1.786
Pd -0.965 -2.432 -2.224
Pd 0.410 -3.394 0.324
Au -2.529 -1.597 0.762
O 0.686 -1.946 -1.105
O -2.616 -2.917 -3.342
O -0.643 -1.075 -3.712
O -1.287 -3.789 -0.736
O -3.377 -0.066 -3.675
O 1.447 -4.798 -0.772
O -2.007 -1.024 -1.136
O 0.077 -3.840 -3.311
```

Energy relative to the elements, uncorrected ... -0.723 eV/atom
SG ... C2/m, No. 12
Volume ... 202.3 Å³ per cell

No. 11
Below is NaPdAuO2 after structural relaxation, with properties calculated at the GGA-PBE level.

Structure (extended XYZ):
```
10
Lattice="-0.717 -4.514 0.224 1.140 -0.513 -6.696 5.027 -0.582 4.365" Properties=species:S:1:pos:R:3 pbc="T T T"
Na 3.155 -2.020 -2.773
Na 2.295 -3.589 0.666
Pd 0.496 -2.642 -4.910
Pd -0.074 -2.385 -1.562
Au 0.000 0.000 0.000
Au 0.570 -0.256 -3.348
O 4.557 -3.756 -2.401
O 1.279 -3.264 -2.997
O 4.171 -2.345 0.890
O 0.892 -1.854 0.294
```

Energy relative to the elements, uncorrected ... -0.376 eV/atom
SG ... Cmme, No. 67
Volume ... 179.2 Å³ per cell

No. 12
Below is Na3Pd2AuO6 after structural relaxation, with properties calculated at the GGA-PBE level.

Structure (extended XYZ):
```
12
Lattice="-5.492 2.030 -0.157 1.545 -5.326 -1.886 0.340 -0.941 5.389" Properties=species:S:1:pos:R:3 pbc="T T T"
Na 0.582 -4.612 1.087
Na -4.189 0.375 2.259
Na -1.803 -2.119 1.673
Pd -0.763 -2.913 -1.319
Pd -3.184 -0.383 -0.724
Au 0.000 0.000 0.000
O -3.966 -1.834 3.024
O -2.785 -2.553 -0.474
O 0.359 -2.403 0.322
O -1.372 -4.545 2.386
O -0.822 -1.685 3.820
O -2.235 0.308 0.960
```

Energy relative to the elements, uncorrected ... -0.702 eV/atom
SG ... C2/m, No. 12
Volume ... 149.1 Å³ per cell

No. 13
Below is Na2Pm2AuO6 after structural relaxation, with properties calculated at the GGA-PBE level.

Structure (extended XYZ):
```
11
Lattice="-2.827 -3.338 4.202 1.930 -2.457 -5.199 5.223 0.163 2.658" Properties=species:S:1:pos:R:3 pbc="T T T"
Na -2.153 -3.213 2.869
Na 1.256 -2.582 -3.867
Pm 2.940 -2.672 -0.706
Pm 1.386 -2.960 2.367
Au 2.612 0.081 1.329
O 2.979 -4.290 1.105
O 4.282 -0.909 0.111
O 1.347 -1.342 0.556
O 2.705 -1.201 3.227
O 0.044 -4.723 1.550
O 1.621 -4.431 -1.566
```

Energy relative to the elements, uncorrected ... -1.848 eV/atom
SG ... C2/m, No. 12
Volume ... 179.1 Å³ per cell

No. 14
Below is Na4Pm3AuO8 after structural relaxation, with properties calculated at the GGA-PBE level.

Structure (extended XYZ):
```
16
Lattice="-4.390 -5.121 -0.481 4.346 -4.027 3.199 -2.128 5.973 3.366" Properties=species:S:1:pos:R:3 pbc="T T T"
Na -2.195 -2.560 -0.241
Na -3.259 0.426 1.442
Na 0.000 0.000 0.000
Na -1.064 2.986 1.683
Pm -0.022 -4.574 1.359
Pm -1.086 -1.587 3.042
Pm 1.109 0.973 3.282
Au 2.173 -2.013 1.599
O 0.115 1.904 5.334
O 0.818 -1.103 4.273
O -1.162 0.746 2.670
O -2.347 -0.968 5.064
O 0.175 -2.207 1.020
O -1.009 -3.920 3.414
O -2.990 -2.072 1.811
O -2.287 -5.079 0.750
```

Energy relative to the elements, uncorrected ... -2.137 eV/atom
SG ... C2/m, No. 12
Volume ... 244.8 Å³ per cell

No. 15
Below is Na3Pm2AuO6 after structural relaxation, with properties calculated at the GGA-PBE level.

Structure (extended XYZ):
```
12
Lattice="-4.685 -2.921 -2.348 5.559 -1.124 -1.957 0.295 -2.821 5.230" Properties=species:S:1:pos:R:3 pbc="T T T"
Na 4.071 -2.822 0.596
Na -2.903 -4.045 0.330
Na 0.584 -3.433 0.463
Pm 2.210 -1.712 -2.085
Pm -1.337 -2.333 -2.220
Au 0.000 0.000 0.000
O -0.908 -5.477 0.699
O 0.726 -3.645 -2.273
O 2.076 -1.389 0.226
O 2.660 -4.852 0.836
O 0.443 -3.221 3.198
O -1.492 -2.015 0.090
```

Energy relative to the elements, uncorrected ... -1.901 eV/atom
SG ... C2/m, No. 12
Volume ... 176.1 Å³ per cell

No. 16
Below is NaPm2AuO5 after structural relaxation, with properties calculated at the GGA-PBE level.

Structure (extended XYZ):
```
18
Lattice="5.942 0.000 0.000 0.000 6.753 0.000 0.000 0.000 6.753" Properties=species:S:1:pos:R:3 pbc="T T T"
Na 0.000 3.376 3.376
Na 0.000 0.000 0.000
Pm 2.971 4.576 1.199
Pm 2.971 1.199 2.177
Pm 2.971 5.554 4.576
Pm 2.971 2.177 5.554
Au 0.000 0.000 3.376
Au 0.000 3.376 0.000
O 2.971 3.376 3.376
O 2.971 0.000 0.000
O 1.521 0.920 4.297
O 1.521 5.832 2.456
O 1.521 2.456 0.920
O 1.521 4.297 5.832
O 4.422 0.920 4.297
O 4.422 4.297 5.832
O 4.422 5.832 2.456
O 4.422 2.456 0.920
```

Energy relative to the elements, uncorrected ... -2.159 eV/atom
SG ... P4/mbm, No. 127
Volume ... 271.0 Å³ per cell

No. 17
Below is NaPmAuO4 after structural relaxation, with properties calculated at the GGA-PBE level.

Structure (extended XYZ):
```
14
Lattice="-4.023 -2.209 4.105 1.927 -3.215 -4.885 5.373 -2.630 3.851" Properties=species:S:1:pos:R:3 pbc="T T T"
Na -1.658 -3.039 3.524
Na 4.935 -5.015 -0.454
Pm 1.638 -4.027 1.535
Pm -1.048 -2.712 -0.390
Au 2.340 -3.715 -2.517
Au 0.937 -4.339 5.587
O 3.608 -3.261 2.597
O 2.498 -6.133 2.183
O 2.775 -4.982 5.120
O 0.701 -3.967 3.634
O 0.502 -3.072 -2.049
O 2.576 -4.087 -0.564
O -0.331 -4.793 0.474
O 0.779 -1.921 0.887
```

Energy relative to the elements, uncorrected ... -1.241 eV/atom
SG ... Cmcm, No. 63
Volume ... 225.9 Å³ per cell

No. 18
Below is NaPr2AuO5 after structural relaxation, with properties calculated at the GGA-PBE level.

Structure (extended XYZ):
```
18
Lattice="-1.540 2.664 -5.116 -3.903 -5.415 -1.645 -5.374 2.920 3.139" Properties=species:S:1:pos:R:3 pbc="T T T"
Na -4.638 -1.247 0.747
Na 0.000 0.000 0.000
Pr -4.372 -1.819 -3.115
Pr -3.195 1.309 -1.840
Pr -7.622 -1.139 -1.782
Pr -6.444 1.989 -0.508
Au -2.687 1.460 1.569
Au -1.951 -2.707 -0.823
O -5.408 0.085 -1.811
O -0.770 1.332 -2.558
O -4.333 1.796 0.477
O -5.723 -2.942 -1.573
O -2.540 -0.904 -1.470
O -7.516 -0.242 0.373
O -5.094 3.112 -2.049
O -8.276 1.074 -2.153
O -6.483 -1.627 -4.099
O -3.301 0.411 -3.995
```

Energy relative to the elements, uncorrected ... -2.113 eV/atom
SG ... P4/mbm, No. 127
Volume ... 282.1 Å³ per cell

No. 19
Below is Na2PtAuO4 after structural relaxation, with properties calculated at the GGA-PBE level.

Structure (extended XYZ):
```
8
Lattice="6.750 0.000 0.000 3.375 4.273 0.000 3.375 0.000 4.273" Properties=species:S:1:pos:R:3 pbc="T T T"
Na 3.375 2.137 2.137
Na 6.750 2.137 2.137
Pt 0.000 0.000 0.000
Au 3.375 0.000 0.000
O 1.452 1.265 0.000
O 8.673 0.000 3.008
O 5.298 0.000 1.265
O 4.827 3.008 0.000
```

Energy relative to the elements, uncorrected ... -0.371 eV/atom
SG ... I-42m, No. 121
Volume ... 123.3 Å³ per cell

No. 20
Below is NaPuAu2O8 after structural relaxation, with properties calculated at the GGA-PBE level.

Structure (extended XYZ):
```
12
Lattice="-4.945 -3.375 1.285 4.752 -2.613 2.843 -0.761 5.765 1.917" Properties=species:S:1:pos:R:3 pbc="T T T"
Na 1.947 0.079 3.412
Pu 0.000 0.000 0.000
Au -2.901 -0.302 2.633
Au -0.096 -2.994 2.064
O -1.587 0.402 1.064
O 0.610 -1.179 1.967
O -1.480 3.537 2.298
O -4.136 1.470 2.494
O -1.088 -3.887 3.487
O -3.832 -2.244 2.423
O -2.049 -0.836 4.549
O 0.051 1.083 4.337
```

Energy relative to the elements, uncorrected ... -0.653 eV/atom
SG ... I-4m2, No. 119
Volume ... 176.5 Å³ per cell

No. 21
Below is Rb5NaAuO2 after structural relaxation, with properties calculated at the GGA-PBE level.

Structure (extended XYZ):
```
9
Lattice="5.685 0.000 0.000 0.000 5.685 0.000 0.000 0.000 10.209" Properties=species:S:1:pos:R:3 pbc="T T T"
Rb 0.000 0.000 5.104
Rb 0.000 2.842 7.757
Rb 2.842 0.000 2.452
Rb 0.000 2.842 2.452
Rb 2.842 0.000 7.757
Na 0.000 0.000 0.000
Au 2.842 2.842 5.104
O 0.000 0.000 2.237
O 0.000 0.000 7.971
```

Energy relative to the elements, uncorrected ... -0.712 eV/atom
SG ... P4/mmm, No. 123
Volume ... 329.9 Å³ per cell